# PBE+U CoSeO3, optimized geometry
data_CoSeO3
_chemical_formula_sum 'Co1 Se1 O3'
_symmetry_space_group_name_H-M 'P 1'
_symmetry_Int_Tables_number 1
_cell_length_a 3.668
_cell_length_b 3.668
_cell_length_c 3.668
_cell_angle_alpha 90.00
_cell_angle_beta 90.00
_cell_angle_gamma 90.00
loop_
_symmetry_equiv_pos_as_xyz
'x,y,z'
loop_
_atom_site_label
_atom_site_type_symbol
_atom_site_fract_x
_atom_site_fract_y
_atom_site_fract_z
O1 O 0.000 0.000 0.500
O2 O 0.500 0.000 0.000
O3 O 0.000 0.500 0.000
Se1 Se 0.500 0.500 0.500
Co1 Co 0.000 0.000 0.000
# Calculated total energy: -4.672 eV/atom
# Crystal system: cubic